CeEuNiPd: optimized geometry, PBE-GGA.

**Total moment**: 7.95 μB per formula unit
**Formation energy**: -35.1 kJ per mole of atoms

```
data_CeEuNiPd
_cell_length_a 7.076
_cell_length_b 7.076
_cell_length_c 7.076
_cell_angle_alpha 90.00
_cell_angle_beta 90.00
_cell_angle_gamma 90.00
_space_group_name_H-M_alt 'F -4 3 m'
_space_group_IT_number 216
_space_group_name_Hall 'F -4 2 3'
loop_
_atom_site_label
_atom_site_type_symbol
_atom_site_fract_x
_atom_site_fract_y
_atom_site_fract_z
Ce1 Ce 0.000 0.000 0.000
Eu1 Eu 0.000 0.000 0.500
Ni1 Ni 0.250 0.250 0.750
Pd1 Pd 0.250 0.250 0.250
```

---

CeEuNiRh: optimized geometry, PBE-GGA.

**Total moment**: 7.37 μB per formula unit
**Formation energy**: -33.8 kJ per mole of atoms

```
data_CeEuNiRh
_cell_length_a 6.951
_cell_length_b 6.951
_cell_length_c 6.951
_cell_angle_alpha 90.00
_cell_angle_beta 90.00
_cell_angle_gamma 90.00
_space_group_name_H-M_alt 'F -4 3 m'
_space_group_IT_number 216
_space_group_name_Hall 'F -4 2 3'
loop_
_atom_site_label
_atom_site_type_symbol
_atom_site_fract_x
_atom_site_fract_y
_atom_site_fract_z
Ce1 Ce 0.000 0.000 0.000
Eu1 Eu 0.000 0.000 0.500
Ni1 Ni 0.250 0.250 0.750
Rh1 Rh 0.250 0.250 0.250
```

---

CeEuZnNi: optimized geometry, PBE-GGA.

**Total moment**: 7.59 μB per formula unit
**Formation energy**: -12.5 kJ per mole of atoms

```
data_CeEuZnNi
_cell_length_a 7.134
_cell_length_b 7.134
_cell_length_c 7.134
_cell_angle_alpha 90.00
_cell_angle_beta 90.00
_cell_angle_gamma 90.00
_space_group_name_H-M_alt 'F -4 3 m'
_space_group_IT_number 216
_space_group_name_Hall 'F -4 2 3'
loop_
_atom_site_label
_atom_site_type_symbol
_atom_site_fract_x
_atom_site_fract_y
_atom_site_fract_z
Ce1 Ce 0.000 0.000 0.000
Eu1 Eu 0.000 0.000 0.500
Zn1 Zn 0.250 0.250 0.750
Ni1 Ni 0.250 0.250 0.250
```

---

SrCeEuSbO6: optimized geometry, PBE-GGA.

**Total moment**: 6.09 μB per formula unit
**Formation energy (no corrections)**: -2.537 eV per atom
**Offset from the most stable computed form**: 0.00 kJ/mol of atoms

```
data_SrCeEuSbO6
_cell_length_a 5.959
_cell_length_b 5.959
_cell_length_c 8.648
_cell_angle_alpha 90.00
_cell_angle_beta 90.00
_cell_angle_gamma 90.00
_space_group_name_H-M_alt 'P -4 n 2'
_space_group_IT_number 118
loop_
_space_group_symop_operation_xyz
'x,y,z'
'y,-x,-z'
'-x,-y,z'
'-y,x,-z'
'-x+1/2,y+1/2,z+1/2'
'-y+1/2,-x+1/2,-z+1/2'
'x+1/2,-y+1/2,z+1/2'
'y+1/2,x+1/2,-z+1/2'
loop_
_atom_site_label
_atom_site_type_symbol
_atom_site_fract_x
_atom_site_fract_y
_atom_site_fract_z
Sr1 Sr 0.000 0.500 0.250
Ce1 Ce 0.000 0.000 0.500
Eu1 Eu 0.000 0.500 0.750
Sb1 Sb 0.000 0.000 0.000
O1 O 0.000 0.000 0.237
O2 O 0.166 0.302 0.998
```

---

SrCeEuSbO6: optimized geometry, PBE-GGA.

**Total moment**: 6.10 μB per formula unit
**Formation energy (no corrections)**: -2.483 eV per atom
**Offset from the most stable computed form**: 5.24 kJ/mol of atoms

```
data_SrCeEuSbO6
_cell_length_a 8.578
_cell_length_b 8.578
_cell_length_c 8.578
_cell_angle_alpha 90.00
_cell_angle_beta 90.00
_cell_angle_gamma 90.00
_space_group_name_H-M_alt 'F -4 3 m'
_space_group_IT_number 216
_space_group_name_Hall 'F -4 2 3'
loop_
_atom_site_label
_atom_site_type_symbol
_atom_site_fract_x
_atom_site_fract_y
_atom_site_fract_z
Sr1 Sr 0.000 0.000 0.000
Ce1 Ce 0.250 0.250 0.750
Eu1 Eu 0.000 0.000 0.500
Sb1 Sb 0.250 0.250 0.250
O1 O 0.015 0.250 0.250
```